[1]
This record from Alexandria describes a relaxed structure of NdSmGeIr. The functional is GGA-PBE.

Output
Spin magnetization: 0.00 μB/atom
ΔE_f: -0.7751 eV per atom

Unit cell a=4.244 b=4.188 c=5.829 alpha=90.00 beta=111.35 gamma=90.00
Fractional coordinates of all 4 atoms:
Nd (0.144, 0.000, 0.288)
Sm (0.863, 0.500, 0.726)
Ge (0.570, 0.500, 0.140)
Ir (0.423, 0.000, 0.846)

=====

[2]
This record from Alexandria describes a relaxed structure of Be4AsCl. The functional is GGA-PBE.

Output
Spin magnetization: 0.00 μB/atom
Final energy: -0.1102 Ha/atom

Unit cell a=4.758 b=4.758 c=4.758 alpha=60.00 beta=60.00 gamma=60.00
Fractional coordinates of all 6 atoms:
Be (0.888, 0.371, 0.371)
Be (0.371, 0.371, 0.888)
Be (0.371, 0.888, 0.371)
Be (0.371, 0.371, 0.371)
As (0.000, 0.000, 0.000)
Cl (0.750, 0.750, 0.750)

=====

[3]
This record from Alexandria describes a relaxed structure of Mg2Zn2Pd. The functional is GGA-PBE.

Output
Spin magnetization: 0.00 μB/atom
ΔE_f: 0.1100 eV per atom
Distance to the lowest polymorph of the same formula: 0.461 eV per atom

Unit cell a=3.814 b=3.814 c=6.793 alpha=73.70 beta=73.70 gamma=90.00
Fractional coordinates of all 5 atoms:
Zn (0.407, 0.407, 0.187)
Zn (0.593, 0.593, 0.813)
Mg (0.750, 0.250, 0.500)
Mg (0.250, 0.750, 0.500)
Pd (0.000, 0.000, 0.000)

=====

[4]
This record from Alexandria describes a relaxed structure of Sr2Sn2Bi. The functional is GGA-PBE.

Output
Spin magnetization: 0.00 μB/atom
ΔE_f: -0.2398 eV per atom
Distance to the lowest polymorph of the same formula: 0.377 eV per atom

Unit cell a=9.641 b=9.641 c=3.709 alpha=90.00 beta=90.00 gamma=90.00
Fractional coordinates of all 10 atoms:
Sr (0.372, 0.872, 0.000)
Sr (0.872, 0.628, 0.000)
Sr (0.628, 0.128, 0.000)
Sr (0.128, 0.372, 0.000)
Bi (0.000, 0.000, 0.000)
Bi (0.500, 0.500, 0.000)
Sn (0.177, 0.677, 0.500)
Sn (0.677, 0.823, 0.500)
Sn (0.823, 0.323, 0.500)
Sn (0.323, 0.177, 0.500)